(1)
The following is a PBE calculation of a relaxed PH6Se2 crystal, from Alexandria via LeMat-Bulk.

The value obtained for the total energy is -3.5248 eV per atom. The volume is 13.5 A^3/atom. The crystal system is monoclinic.

Cell: 8.8205 4.2821 6.4113 Å, 90.00 90.50 90.00°
Fractional positions:
P: 0.0000 0.0000 0.0000
P: 0.0000 0.5000 0.5000
H: 0.1014 0.1917 0.5744
H: 0.1014 0.3083 0.0744
H: 0.4237 0.1960 0.8900
H: 0.4237 0.3040 0.3900
H: 0.4803 0.1757 0.3725
H: 0.4803 0.3243 0.8725
H: 0.5197 0.6757 0.1275
H: 0.5197 0.8243 0.6275
H: 0.5763 0.6960 0.6100
H: 0.5763 0.8040 0.1100
H: 0.8986 0.6917 0.9256
H: 0.8986 0.8083 0.4256
Se: 0.1683 0.6440 0.2087
Se: 0.1683 0.8560 0.7087
Se: 0.8317 0.1440 0.2913
Se: 0.8317 0.3560 0.7913

---

(2)
The following is a PBE calculation of a relaxed Ta3OsN crystal, from Alexandria via LeMat-Bulk.

The value obtained for the total energy is -11.4849 eV per atom. The volume is 15.0 A^3/atom. The crystal system is cubic.

Cell: 4.2131 4.2131 4.2131 Å, 90.00 90.00 90.00°
Fractional positions:
Ta: 0.0000 0.0000 0.5000
Ta: 0.0000 0.5000 0.0000
Ta: 0.5000 0.0000 0.0000
Os: 0.5000 0.5000 0.5000
N: 0.0000 0.0000 0.0000

---

(3)
The following is a PBE calculation of a relaxed Pm2Mg2Sn7 crystal, from Alexandria via LeMat-Bulk.

The calculated formation energy is -253 meV/atom. The value obtained for the total energy is -3.9543 eV per atom. The volume is 27.3 A^3/atom. The crystal system is monoclinic.

Cell: 7.6367 7.6367 5.6834 Å, 107.74 107.74 82.20°
Fractional positions:
Pm: 0.1981 0.8019 0.0000
Pm: 0.8019 0.1981 0.0000
Mg: 0.2633 0.2633 0.0094
Mg: 0.7367 0.7367 0.9906
Sn: 0.0000 0.0000 0.5000
Sn: 0.0860 0.5635 0.3458
Sn: 0.4307 0.4307 0.7077
Sn: 0.4365 0.9140 0.6542
Sn: 0.5635 0.0860 0.3458
Sn: 0.5693 0.5693 0.2923
Sn: 0.9140 0.4365 0.6542

---

(4)
The following is a PBE calculation of a relaxed AcNd4Hg4 crystal, from Alexandria via LeMat-Bulk.

The calculated formation energy is -260 meV/atom. The value obtained for the total energy is -2.9697 eV per atom. The volume is 31.7 A^3/atom. The crystal system is tetragonal.

Cell: 10.0117 10.0117 5.6916 Å, 90.00 90.00 90.00°
Fractional positions:
Ac: 0.2500 0.2500 0.2500
Ac: 0.7500 0.7500 0.7500
Nd: 0.1020 0.8450 0.6596
Nd: 0.1550 0.6020 0.1596
Nd: 0.3450 0.8980 0.1596
Nd: 0.3980 0.6550 0.6596
Nd: 0.6020 0.3450 0.3404
Nd: 0.6550 0.1020 0.8404
Nd: 0.8450 0.3980 0.8404
Nd: 0.8980 0.1550 0.3404
Hg: 0.0407 0.1417 0.8379
Hg: 0.1417 0.4593 0.6621
Hg: 0.3583 0.0407 0.6621
Hg: 0.4593 0.3583 0.8379
Hg: 0.5407 0.6417 0.1621
Hg: 0.6417 0.9593 0.3379
Hg: 0.8583 0.5407 0.3379
Hg: 0.9593 0.8583 0.1621

---

(5)
The following is a PBE calculation of a relaxed BMoS2N crystal, from Alexandria via LeMat-Bulk.

The value obtained for the total energy is -5.8025 eV per atom. The volume is 17.4 A^3/atom. The crystal system is tetragonal.

Cell: 4.7937 4.7937 3.7872 Å, 90.00 90.00 90.00°
Fractional positions:
B: 0.0000 0.0000 0.0000
Mo: 0.5000 0.5000 0.5000
S: 0.0000 0.5000 0.5000
S: 0.5000 0.0000 0.5000
N: 0.5000 0.5000 0.0000

---

(6)
The following is a PBE calculation of a relaxed Sm3GaSi2Ni9 crystal, from Alexandria via LeMat-Bulk.

The value obtained for the total energy is -5.6340 eV per atom. The volume is 16.9 A^3/atom. The crystal system is trigonal.

Cell: 5.8668 5.8668 8.5073 Å, 90.00 90.00 120.00°
Fractional positions:
Sm: 0.0000 0.0000 0.0000
Sm: 0.3333 0.6667 0.6681
Sm: 0.6667 0.3333 0.3319
Ga: 0.0000 0.0000 0.5000
Si: 0.3333 0.6667 0.1773
Si: 0.6667 0.3333 0.8227
Ni: 0.0000 0.5000 0.0000
Ni: 0.1394 0.2788 0.2801
Ni: 0.1394 0.8606 0.2801
Ni: 0.2788 0.1394 0.7199
Ni: 0.5000 0.0000 0.0000
Ni: 0.5000 0.5000 0.0000
Ni: 0.7212 0.8606 0.2801
Ni: 0.8606 0.1394 0.7199
Ni: 0.8606 0.7212 0.7199

---

(7)
The following is a PBE calculation of a relaxed BaNaV crystal, from Alexandria via LeMat-Bulk.

The calculated formation energy is 844 meV/atom. The value obtained for the total energy is -3.2757 eV per atom. The volume is 37.0 A^3/atom. The crystal system is hexagonal.

Cell: 6.0177 6.0177 7.0866 Å, 90.00 90.00 120.00°
Fractional positions:
Ba: 0.3333 0.6667 0.2500
Ba: 0.6667 0.3333 0.7500
Na: 0.0000 0.0000 0.0000
Na: 0.0000 0.0000 0.5000
V: 0.3333 0.6667 0.7500
V: 0.6667 0.3333 0.2500

---

(8)
The following is a PBE calculation of a relaxed CaFeSnPb2 crystal, from Alexandria via LeMat-Bulk.

The calculated formation energy is 927 meV/atom. The value obtained for the total energy is -3.4499 eV per atom. The volume is 39.2 A^3/atom. The crystal system is tetragonal.

Cell: 5.7897 5.7897 5.8521 Å, 90.00 90.00 90.00°
Fractional positions:
Ca: 0.0000 0.0000 0.0000
Fe: 0.5000 0.5000 0.0000
Sn: 0.0000 0.0000 0.5000
Pb: 0.0000 0.5000 0.5000
Pb: 0.5000 0.0000 0.5000

---

(9)
The following is a PBE calculation of a relaxed Fe2SbRu crystal, from Alexandria via LeMat-Bulk.

The value obtained for the total energy is -7.3998 eV per atom. The volume is 14.8 A^3/atom. The crystal system is orthorhombic.

Cell: 5.1323 5.1323 5.1323 Å, 144.16 131.05 62.14°
Fractional positions:
Fe: 0.2494 0.2494 0.0000
Fe: 0.7506 0.7506 0.0000
Sb: 0.5000 0.0000 0.5000
Ru: 0.0000 0.5000 0.5000

---

(10)
The following is a PBE calculation of a relaxed NaSrLi2 crystal, from Alexandria via LeMat-Bulk.

The calculated formation energy is 226 meV/atom. The value obtained for the total energy is -1.4807 eV per atom. The volume is 36.1 A^3/atom. The crystal system is tetragonal.

Cell: 12.1537 12.1537 12.1537 Å, 156.35 156.35 33.69°
Fractional positions:
Na: 0.0000 0.0000 0.0000
Na: 0.7500 0.2500 0.5000
Sr: 0.2500 0.7500 0.5000
Sr: 0.5000 0.5000 0.0000
Li: 0.0488 0.6250 0.9238
Li: 0.3750 0.2988 0.4238
Li: 0.7012 0.1250 0.0762
Li: 0.8750 0.9512 0.5762

---

(11)
The following is a PBE calculation of a relaxed RbYSi crystal, from Alexandria via LeMat-Bulk.

The value obtained for the total energy is -4.3734 eV per atom. The volume is 35.6 A^3/atom. The crystal system is triclinic.

Cell: 5.2962 5.2968 7.6202 Å, 89.97 89.94 90.00°
Fractional positions:
Rb: 0.0000 0.0000 0.0000
Rb: 0.4996 0.5001 0.9996
Y: 0.4985 0.4993 0.4997
Y: 0.9982 0.9994 0.4999
Si: 0.9983 0.4993 0.6630
Si: 0.9987 0.4995 0.3366

---

(12)
The following is a PBE calculation of a relaxed CaS2I2 crystal, from Alexandria via LeMat-Bulk.

The value obtained for the total energy is -3.2464 eV per atom. The volume is 32.8 A^3/atom. The crystal system is tetragonal.

Cell: 7.9890 7.9890 5.1466 Å, 90.00 90.00 90.00°
Fractional positions:
Ca: 0.0000 0.0000 0.0000
Ca: 0.5000 0.5000 0.0000
S: 0.2484 0.2516 0.0000
S: 0.2516 0.7516 0.0000
S: 0.7484 0.2484 0.0000
S: 0.7516 0.7484 0.0000
I: 0.1859 0.6859 0.5000
I: 0.3141 0.1859 0.5000
I: 0.6859 0.8141 0.5000
I: 0.8141 0.3141 0.5000